DFT (PBE-GGA) results for ReTc2N after structural relaxation.

Results
Fermi-level density of states: 1.83 states/eV/f.u.
Total magnetization: 0.0 μB/cell
Uncorrected formation energy: 0.2 eV/f.u.
Electronic total energy: -10.3319 eV/atom

Lattice parameters (Å, degrees): 2.8116 2.8116 21.6634 90.00 90.00 120.00
With the nearest neighbours (Å) after each atom.
Space group R3m (No. 160, hexagonal axes)
Asymmetric unit:
Re (0.0000, 0.0000, 0.0000) [3 per cell]  6 Tc 2.69-2.80, 6 Re 2.81
Tc (0.0000, 0.0000, 0.2342) [3 per cell]  3 N 2.12
Tc (0.0000, 0.0000, 0.4387) [3 per cell]  3 N 2.16
N (0.0000, 0.0000, 0.8377) [3 per cell]  6 Tc 2.12-2.16